[1]
Compound: Ce9InSn2
Source: Alexandria via LeMat-Bulk
Functional: PBE-GGA
Structure: optimized geometry

Output
* E: -5.381 eV/atom
* calculated volume: 26.79 Å³ per atom
* energy relative to the lowest polymorph listed for this composition: 302.0 meV/atom
* calculated formation energy: -0.04 eV/atom

Unit cell a=6.4519 b=6.4519 c=9.6630 alpha=70.50 beta=70.50 gamma=60.00
Last column: nearest neighbours and their distance in Å.
Fractional coordinates of all 12 atoms:
Ce1 0.3931 0.9407 0.2730  4 Ce 2.74-2.92
Ce2 0.3557 0.3557 0.9329  3 Ce 2.74
Ce3 0.3931 0.3931 0.2730  4 Ce 2.74-2.92
Ce4 0.6069 0.6069 0.7270  4 Ce 2.74-2.92
Ce5 0.9407 0.3931 0.2730  4 Ce 2.74-2.92
Ce6 0.6069 0.0593 0.7270  4 Ce 2.74-2.92
Ce7 0.5000 0.5000 0.5000  6 Ce 2.87
Ce8 0.0593 0.6069 0.7270  4 Ce 2.74-2.92
Ce9 0.6443 0.6443 0.0671  3 Ce 2.74
In1 0.0000 0.0000 0.0000  2 Sn 3.56, 6 Ce 3.77
Sn1 0.8668 0.8668 0.3995  9 Ce 3.37-3.42, 1 In 3.56
Sn2 0.1332 0.1332 0.6005  9 Ce 3.37-3.42, 1 In 3.56

[2]
Compound: Er3AlHg2
Source: Alexandria via LeMat-Bulk
Functional: PBE-GGA
Structure: optimized geometry

Output
* E: -3.445 eV/atom
* calculated volume: 24.38 Å³ per atom
* energy relative to the lowest polymorph listed for this composition: 0.0 meV/atom
* calculated formation energy: -0.44 eV/atom

Unit cell a=3.6539 b=3.6539 c=10.9543 alpha=90.00 beta=90.00 gamma=90.00
Last column: nearest neighbours and their distance in Å.
Fractional coordinates of all 6 atoms:
Al1 0.5000 0.5000 0.5000  8 Er 3.12
Er1 0.0000 0.0000 0.3399  4 Al 3.12, 4 Hg 3.18
Er2 0.0000 0.0000 0.6601  4 Al 3.12, 4 Hg 3.18
Er3 0.0000 0.0000 0.0000  8 Hg 3.19
Hg1 0.5000 0.5000 0.8290  8 Er 3.18-3.19
Hg2 0.5000 0.5000 0.1710  8 Er 3.18-3.19

[3]
Compound: PmNpSN2
Source: Alexandria via LeMat-Bulk
Functional: PBE-GGA
Structure: optimized geometry

Output
* E: -9.045 eV/atom
* calculated volume: 17.55 Å³ per atom
* raw formation energy: -1.351 eV/atom

Unit cell a=3.7966 b=3.7966 c=6.6535 alpha=106.58 beta=106.58 gamma=90.00
Last column: nearest neighbours and their distance in Å.
Fractional coordinates of all 5 atoms:
Pm1 0.8559 0.8559 0.7119  4 N 2.36
S1 0.5020 0.5020 0.0041  4 Pm 3.22, 4 Np 3.30, 4 N 3.47
Np1 0.1600 0.1600 0.3201  4 N 2.14
N1 0.2410 0.7410 0.4820  2 Np 2.14, 2 Pm 2.36
N2 0.7410 0.2410 0.4820  2 Np 2.14, 2 Pm 2.36

[4]
Compound: CdTcNO2
Source: Alexandria via LeMat-Bulk
Functional: PBE-GGA
Structure: optimized geometry

Output
* E: -4.660 eV/atom
* calculated volume: 14.25 Å³ per atom
* raw formation energy: 1.244 eV/atom

Unit cell a=4.1125 b=4.1125 c=4.2116 alpha=90.00 beta=90.00 gamma=90.00
Last column: nearest neighbours and their distance in Å.
Fractional coordinates of all 5 atoms:
O1 0.0000 0.5000 0.0000  2 Cd 2.06
O2 0.5000 0.0000 0.0000  2 Cd 2.06
N1 0.0000 0.0000 0.5000  2 Cd 2.11
Cd1 0.0000 0.0000 0.0000  4 O 2.06, 2 N 2.11
Tc1 0.5000 0.5000 0.5000  4 N 2.91, 8 O 2.94

[5]
Compound: KRbHBr
Source: Alexandria via LeMat-Bulk
Functional: PBE-GGA
Structure: optimized geometry

Output
* E: -2.619 eV/atom
* calculated volume: 30.10 Å³ per atom
* energy relative to the lowest polymorph listed for this composition: 9.7 meV/atom

Unit cell a=5.5424 b=5.5424 c=5.5424 alpha=60.00 beta=60.00 gamma=60.00
Last column: nearest neighbours and their distance in Å.
Fractional coordinates of all 4 atoms:
H1 0.2500 0.2500 0.2500  4 Rb 3.39, 4 K 3.39
Br1 0.7500 0.7500 0.7500  4 K 3.39, 4 Rb 3.39
K1 0.0000 0.0000 0.0000  4 H 3.39, 4 Br 3.39
Rb1 0.5000 0.5000 0.5000  4 Br 3.39, 4 H 3.39

[6]
Compound: Hf15Mo11Se2
Source: Alexandria via LeMat-Bulk
Functional: PBE-GGA
Structure: optimized geometry

Output
* E: -9.967 eV/atom
* calculated volume: 19.75 Å³ per atom
* raw formation energy: -0.131 eV/atom

Unit cell a=8.6230 b=8.6230 c=8.5862 alpha=90.00 beta=90.00 gamma=120.00
Last column: nearest neighbours and their distance in Å.
Fractional coordinates of all 28 atoms:
Mo1 0.5559 0.4441 0.0000  4 Mo 2.73-2.86, 4 Hf 2.89
Mo2 0.7963 0.8981 0.5000  4 Mo 2.64-2.89
Mo3 0.1019 0.2037 0.5000  4 Mo 2.64-2.89
Mo4 0.1019 0.8981 0.5000  4 Mo 2.64-2.89
Mo5 0.6667 0.3333 0.7477  6 Mo 2.69-2.73, 6 Hf 2.94-3.00
Mo6 0.8881 0.4441 0.0000  4 Mo 2.73-2.86, 4 Hf 2.89
Mo7 0.7768 0.2232 0.5000  6 Mo 2.69-2.89, 2 Hf 2.80
Mo8 0.7768 0.5536 0.5000  6 Mo 2.69-2.89, 2 Hf 2.80
Mo9 0.4464 0.2232 0.5000  6 Mo 2.69-2.89, 2 Hf 2.80
Mo10 0.6667 0.3333 0.2523  6 Mo 2.69-2.73, 6 Hf 2.94-3.00
Mo11 0.5559 0.1119 0.0000  4 Mo 2.73-2.86, 4 Hf 2.89
Hf1 0.2087 0.4175 0.0000  2 Mo 2.89, 1 Se 3.12, 2 Hf 3.22
Hf2 0.0562 0.5281 0.6964  1 Se 2.67, 2 Mo 2.89-2.94
Hf3 0.8666 0.7331 0.2136  1 Se 2.71, 2 Mo 2.80-3.00
Hf4 0.2669 0.1334 0.7864  1 Se 2.71, 2 Mo 2.80-3.00
Hf5 0.0562 0.5281 0.3036  1 Se 2.67, 2 Mo 2.89-2.94
Hf6 0.8666 0.7331 0.7864  1 Se 2.71, 2 Mo 2.80-3.00
Hf7 0.5825 0.7913 0.0000  2 Mo 2.89, 1 Se 3.12, 2 Hf 3.22
Hf8 0.2087 0.7913 0.0000  2 Mo 2.89, 1 Se 3.12, 2 Hf 3.22
Hf9 0.4719 0.5281 0.3036  1 Se 2.67, 2 Mo 2.89-2.94
Hf10 0.4719 0.9438 0.6964  1 Se 2.67, 2 Mo 2.89-2.94
Hf11 0.8666 0.1334 0.7864  1 Se 2.71, 2 Mo 2.80-3.00
Hf12 0.4719 0.5281 0.6964  1 Se 2.67, 2 Mo 2.89-2.94
Hf13 0.8666 0.1334 0.2136  1 Se 2.71, 2 Mo 2.80-3.00
Hf14 0.4719 0.9438 0.3036  1 Se 2.67, 2 Mo 2.89-2.94
Hf15 0.2669 0.1334 0.2136  1 Se 2.71, 2 Mo 2.80-3.00
Se1 0.0000 0.0000 0.0000  6 Hf 2.71
Se2 0.3333 0.6667 0.5000  6 Hf 2.67

[7]
Compound: TcS
Source: Alexandria via LeMat-Bulk
Functional: PBE-GGA
Structure: optimized geometry

Output
* E: -7.292 eV/atom
* calculated volume: 13.76 Å³ per atom
* energy relative to the lowest polymorph listed for this composition: 344.2 meV/atom
* raw formation energy: -0.045 eV/atom

Unit cell a=2.9717 b=2.9717 c=10.7931 alpha=90.00 beta=90.00 gamma=120.00
Last column: nearest neighbours and their distance in Å.
Fractional coordinates of all 6 atoms:
S1 0.6667 0.3333 0.8333  6 Tc 2.49
S2 0.3333 0.6667 0.1667  6 Tc 2.49
S3 0.0000 0.0000 0.5000  6 Tc 2.49
Tc1 0.3333 0.6667 0.6667  6 S 2.49
Tc2 0.0000 0.0000 0.0000  6 S 2.49
Tc3 0.6667 0.3333 0.3333  6 S 2.49

[8]
Compound: PmCo2Sb
Source: Alexandria via LeMat-Bulk
Functional: PBE-GGA
Structure: optimized geometry

Output
* E: -6.041 eV/atom
* calculated volume: 19.20 Å³ per atom
* raw formation energy: -0.270 eV/atom

Unit cell a=4.2998 b=4.2998 c=5.4007 alpha=66.54 beta=66.54 gamma=60.00
Last column: nearest neighbours and their distance in Å.
Fractional coordinates of all 4 atoms:
Pm1 0.0000 0.0000 0.0000  2 Co 2.83
Co1 0.1966 0.1966 0.4103  3 Sb 2.52, 3 Co 2.63
Co2 0.8034 0.8034 0.5897  3 Sb 2.52, 3 Co 2.63
Sb1 0.5000 0.5000 0.5000  6 Co 2.52

[9]
Compound: PrPa2Sn
Source: Alexandria via LeMat-Bulk
Functional: PBE-GGA
Structure: optimized geometry

Output
* E: -6.733 eV/atom
* calculated volume: 27.52 Å³ per atom
* energy relative to the lowest polymorph listed for this composition: 316.0 meV/atom
* calculated formation energy: 0.21 eV/atom

Unit cell a=3.2370 b=3.2370 c=12.2742 alpha=82.42 beta=82.42 gamma=60.00
Last column: nearest neighbours and their distance in Å.
Fractional coordinates of all 4 atoms:
Pa1 0.0909 0.0909 0.7274  6 Pa 3.24, 1 Pr 3.31, 3 Sn 3.33
Pa2 0.9091 0.9091 0.2726  6 Pa 3.24, 1 Pr 3.31, 3 Sn 3.33
Pr1 0.0000 0.0000 0.0000  6 Pr 3.24, 2 Pa 3.31
Sn1 0.5000 0.5000 0.5000  6 Sn 3.24, 6 Pa 3.33

[10]
Compound: Eu2TlSe
Source: Alexandria via LeMat-Bulk
Functional: PBE-GGA
Structure: optimized geometry

Output
* E: -7.623 eV/atom
* calculated volume: 28.90 Å³ per atom
* energy relative to the lowest polymorph listed for this composition: 66.3 meV/atom
* raw formation energy: -1.023 eV/atom

Unit cell a=3.7314 b=3.7314 c=8.3032 alpha=90.00 beta=90.00 gamma=90.00
Last column: nearest neighbours and their distance in Å.
Fractional coordinates of all 4 atoms:
Se1 0.5000 0.5000 0.0000  8 Eu 3.20
Eu1 0.0000 0.0000 0.2184  4 Se 3.20, 4 Tl 3.53
Eu2 0.0000 0.0000 0.7816  4 Se 3.20, 4 Tl 3.53
Tl1 0.5000 0.5000 0.5000  8 Eu 3.53, 4 Tl 3.73

[11]
Compound: CrCd2Ru
Source: Alexandria via LeMat-Bulk
Functional: PBE-GGA
Structure: optimized geometry

Output
* E: -4.910 eV/atom
* calculated volume: 16.88 Å³ per atom
* energy relative to the lowest polymorph listed for this composition: 111.7 meV/atom
* calculated formation energy: 0.27 eV/atom

Unit cell a=9.7998 b=9.7998 c=9.7998 alpha=16.67 beta=16.67 gamma=16.67
Last column: nearest neighbours and their distance in Å.
Fractional coordinates of all 4 atoms:
Cd1 0.0078 0.0078 0.0078  6 Cd 2.84, 3 Ru 2.99
Cd2 0.2406 0.2406 0.2406  6 Cd 2.84, 3 Cr 2.91
Cr1 0.4908 0.4908 0.4908  3 Ru 2.46
Ru1 0.7608 0.7608 0.7608  3 Cr 2.46

[12]
Compound: Pm2GaGe5
Source: Alexandria via LeMat-Bulk
Functional: PBE-GGA
Structure: optimized geometry

Output
* E: -4.905 eV/atom
* calculated volume: 21.26 Å³ per atom
* calculated formation energy: -0.45 eV/atom

Unit cell a=6.1750 b=6.1750 c=6.2428 alpha=119.64 beta=119.64 gamma=90.00
Last column: nearest neighbours and their distance in Å.
Fractional coordinates of all 8 atoms:
Pm1 0.7372 0.2372 0.4744  10 Ge 3.09-3.15, 2 Ga 3.13
Pm2 0.2372 0.7372 0.4744  10 Ge 3.09-3.15, 2 Ga 3.13
Ge1 0.2475 0.7176 0.9651  3 Ge 2.77-2.90, 1 Ga 2.91, 2 Pm 3.09
Ge2 0.2475 0.2475 0.9651  3 Ge 2.77-2.90, 1 Ga 2.91, 2 Pm 3.09
Ge3 0.7176 0.2475 0.9651  3 Ge 2.77-2.90, 1 Ga 2.91, 2 Pm 3.09
Ge4 0.7175 0.7175 0.9650  3 Ge 2.77-2.90, 1 Ga 2.91, 2 Pm 3.09
Ge5 0.6916 0.6916 0.3832  4 Ge 2.77
Ga1 0.1809 0.1809 0.3618  4 Ge 2.91, 4 Pm 3.13

- What is the calculated volume in the eighth record?
  19.20 Å³ per atom